(1)
First-principles (PBE) data for Cd2GaPt2 after structural relaxation, as listed in the Alexandria database.

abc: 5.544 5.544 7.534
angles: 78.51 78.51 57.29
Element x y z (fractional)
Pt1 0.734 0.010 0.503
Pt2 0.266 0.990 0.497
Pt3 0.990 0.266 0.997
Pt4 0.010 0.734 0.003
Cd1 0.787 0.522 0.345
Cd2 0.478 0.213 0.155
Cd3 0.213 0.478 0.655
Cd4 0.522 0.787 0.845
Ga1 0.148 0.852 0.250
Ga2 0.852 0.148 0.750

Calculated values
Energy relative to the elements (kcal/mol of atoms): -9.982
Raw total energy (eV per atom): -3.82
Energy above the lowest structure with this stoichiometry (eV/atom): 0.000
Symmetry: No. 15
Spin magnetization (μB per formula unit): 0.0
Volume (Å³/atom): 18.97


(2)
First-principles (PBE) data for PrY2Er3Te6 after structural relaxation, as listed in the Alexandria database.

abc: 4.338 8.812 9.805
angles: 103.71 102.78 90.00
Element x y z (fractional)
Er1 0.162 0.832 0.323
Er2 0.838 0.168 0.677
Er3 0.500 0.500 0.000
Y1 0.837 0.674 0.674
Y2 0.163 0.326 0.326
Pr1 0.500 0.000 0.000
Te1 0.673 0.082 0.346
Te2 0.327 0.918 0.654
Te3 0.667 0.584 0.335
Te4 0.000 0.738 0.000
Te5 0.333 0.416 0.665
Te6 0.000 0.262 0.000

Calculated values
Uncorrected formation energy (eV per atom): -1.28
Raw total energy (eV per atom): -5.47
Symmetry: No. 12
Spin magnetization (μB per formula unit): 0.0
Volume (Å³/atom): 29.55


(3)
First-principles (PBE) data for CaNpSc2As4 after structural relaxation, as listed in the Alexandria database.

abc: 4.005 6.951 6.946
angles: 71.10 90.00 90.00
Last column: magnetic moment on the atom in μB.
Element x y z (fractional)
As1 0.500 0.234 0.765  -0.07
As2 0.000 0.765 0.750  -0.08
As3 0.500 0.766 0.235  -0.07
As4 0.000 0.235 0.250  -0.08
Sc1 0.000 0.000 0.000  -0.01
Sc2 0.500 0.000 0.500  -0.02
Ca1 0.000 0.500 0.500  -0.01
Np1 0.500 0.500 0.000  3.40

Calculated values
Energy relative to the elements (kcal/mol of atoms): -25.586
Raw total energy (eV per atom): -6.88
Symmetry: No. 10
Spin magnetization (μB per formula unit): 3.1
Volume (Å³/atom): 22.87


(4)
First-principles (PBE) data for Pu6PRh5 after structural relaxation, as listed in the Alexandria database.

abc: 4.957 6.175 8.752
angles: 69.36 73.56 90.02
Last column: magnetic moment on the atom in μB.
Element x y z (fractional)
Rh1 0.328 0.328 0.344  -0.22
Rh2 0.317 0.817 0.366  -0.28
Rh3 0.672 0.672 0.656  -0.22
Rh4 0.683 0.183 0.634  -0.28
Rh5 0.000 0.500 0.000  0.11
P1 0.000 0.000 0.000  0.02
Pu1 0.837 0.594 0.325  5.01
Pu2 0.500 0.759 0.000  -5.12
Pu3 0.163 0.919 0.675  5.01
Pu4 0.500 0.241 0.000  -5.12
Pu5 0.163 0.406 0.675  5.01
Pu6 0.837 0.081 0.325  5.01

Calculated values
Energy relative to the elements (kcal/mol of atoms): -10.506
Raw total energy (eV per atom): -11.14
Symmetry: No. 71
Spin magnetization (μB per formula unit): 9.2
Volume (Å³/atom): 19.91


(5)
First-principles (PBE) data for Sc8TlFe2 after structural relaxation, as listed in the Alexandria database.

abc: 4.928 6.358 8.327
angles: 112.39 107.19 90.05
Element x y z (fractional)
Tl1 0.137 0.977 0.909
Sc1 0.925 0.439 0.487
Sc2 0.309 0.359 0.255
Sc3 0.637 0.277 0.909
Sc4 0.523 0.702 0.683
Sc5 0.138 0.534 0.909
Sc6 0.750 0.929 0.136
Sc7 0.348 0.861 0.332
Sc8 0.963 0.014 0.563
Fe1 0.466 0.284 0.571
Fe2 0.804 0.623 0.247

Calculated values
Energy relative to the elements (kcal/mol of atoms): -2.608
Raw total energy (eV per atom): -6.47
Symmetry: No. 8
Spin magnetization (μB per formula unit): 0.0
Volume (Å³/atom): 20.78


(6)
First-principles (PBE) data for HfSc2Br after structural relaxation, as listed in the Alexandria database.

abc: 5.083 5.083 5.083
angles: 60.00 60.00 60.00
Last column: magnetic moment on the atom in μB.
Element x y z (fractional)
Br1 0.000 0.000 0.000  0.01
Sc1 0.750 0.750 0.750  0.27
Sc2 0.250 0.250 0.250  0.27
Hf1 0.500 0.500 0.500  0.79

Calculated values
Uncorrected formation energy (eV per atom): 0.35
Raw total energy (eV per atom): -5.72
Energy above the lowest structure with this stoichiometry (eV/atom): 0.790
Symmetry: No. 225
Spin magnetization (μB per formula unit): 2.1
Volume (Å³/atom): 23.22